# NbVOsW (GGA-PBE, relaxed)
data_NbVOsW
_cell_length_a 4.440
_cell_length_b 4.440
_cell_length_c 4.440
_cell_angle_alpha 60.00
_cell_angle_beta 60.00
_cell_angle_gamma 60.00
_space_group_name_H-M_alt 'P 1'
_space_group_IT_number 1
_space_group_name_Hall 'P 1'
loop_
_atom_site_label
_atom_site_type_symbol
_atom_site_fract_x
_atom_site_fract_y
_atom_site_fract_z
Nb1 Nb 0.000 0.000 0.000
V1 V 0.500 0.500 0.500
Os1 Os 0.750 0.750 0.750
W1 W 0.250 0.250 0.250
# **Crystal system**: cubic
# **Calculated formation energy**: -0.162 eV per atom
# **SG**: F-43m (216)